Density functional theory data (PBE with a Hubbard U) for a relaxed structure of ZrMnTeO6.

E_tot = -7.312 eV/atom
symmetry = P-31c, No. 163

Lattice parameters (Å, degrees): 5.3904 5.3904 9.3014 90.00 90.00 120.00
Fractional positions:
1 O 0.3442 0.3684 0.8655
2 O 0.6558 0.6316 0.1345
3 O 0.6558 0.0242 0.3655
4 O 0.0242 0.3684 0.6345
5 O 0.3442 0.9758 0.6345
6 O 0.9758 0.6316 0.3655
7 O 0.3684 0.3442 0.3655
8 O 0.3684 0.0242 0.1345
9 O 0.0242 0.6558 0.8655
10 O 0.6316 0.6558 0.6345
11 O 0.6316 0.9758 0.8655
12 O 0.9758 0.3442 0.1345
13 Te 0.6667 0.3333 0.2500
14 Te 0.3333 0.6667 0.7500
15 Zr 0.3333 0.6667 0.2500
16 Zr 0.6667 0.3333 0.7500
17 Mn 0.0000 0.0000 0.0000
18 Mn 0.0000 0.0000 0.5000